Entry 1:
Entry from the Alexandria database: an optimized crystal structure of ZrMn3Cr (GGA-PBE).

```
5
Lattice="-1.294 4.008 0.654 -3.977 -1.389 0.645 0.820 -0.415 4.162" Properties=species:S:1:pos:R:3 pbc="T T T"
Cr 0.000 0.000 0.000
Mn -1.989 -0.695 0.323
Mn 0.410 -0.207 2.081
Mn -0.647 2.004 0.327
Zr -2.225 1.102 2.731
```

## Properties
Symmetry: Pm-3m, No. 221
ΔH_f (0 K) (meV/atom): 622
Energy above the most stable polymorph in this dataset (eV/atom): 0.0000

***

Entry 2:
Entry from the Alexandria database: an optimized crystal structure of ZrMn10Cr2 (GGA-PBE).

```
26
Lattice="6.252 0.061 0.000 -0.865 6.192 0.000 0.000 0.000 8.002" Properties=species:S:1:pos:R:3 pbc="T T T"
Zr 5.405 0.791 6.001
Zr -0.018 5.462 2.000
Mn 2.237 0.804 6.001
Mn 3.149 5.450 2.000
Mn 4.923 3.922 6.001
Mn 0.463 2.332 2.000
Mn 2.642 4.645 6.001
Mn 2.745 1.608 2.000
Mn 1.184 2.953 6.001
Mn 4.203 3.301 2.000
Mn 5.031 1.113 3.167
Mn 0.356 5.140 7.168
Mn 5.031 1.113 0.833
Mn 0.356 5.140 4.834
Mn 3.430 2.492 7.420
Mn 1.956 3.761 3.419
Mn 3.430 2.492 4.583
Mn 1.956 3.761 0.582
Mn 4.186 4.859 0.000
Mn 1.201 1.394 4.001
Mn 1.201 1.394 0.000
Mn 4.186 4.859 4.001
Cr 3.126 0.031 0.000
Cr 3.126 0.031 4.001
Cr -0.432 3.096 4.001
Cr -0.432 3.096 0.000
```

## Properties
Symmetry: Cmcm, No. 63
ΔH_f (0 K) (meV/atom): -23

***

Entry 3:
Entry from the Alexandria database: an optimized crystal structure of ZrMnCr2 (GGA-PBE).

```
4
Lattice="-0.949 1.701 -2.384 -3.609 0.846 2.040 1.875 3.602 1.824" Properties=species:S:1:pos:R:3 pbc="T T T"
Cr 0.000 0.000 0.000
Cr -2.279 1.274 -0.172
Mn 0.463 2.652 -0.280
Zr -0.867 2.224 1.932
```

## Properties
Symmetry: Pmmm, No. 47
ΔH_f (0 K) (meV/atom): 183

***

Entry 4:
Entry from the Alexandria database: an optimized crystal structure of ZrMnCr2 (GGA-PBE).

```
4
Lattice="-6.666 -4.199 -3.206 -5.156 -3.775 -5.613 -4.559 -6.016 -3.919" Properties=species:S:1:pos:R:3 pbc="T T T"
Cr -16.155 -13.797 -12.562
Cr -4.140 -3.535 -3.219
Mn -8.385 -7.161 -6.520
Zr -12.273 -10.482 -9.543
```

## Properties
Symmetry: R3m, No. 160
ΔH_f (0 K) (meV/atom): 438

***

Entry 5:
Entry from the Alexandria database: an optimized crystal structure of ZrMnCr2 (GGA-PBE).

```
4
Lattice="-6.786 -1.269 4.974 -4.691 -1.500 6.939 -5.708 1.097 6.214" Properties=species:S:1:pos:R:3 pbc="T T T"
Cr -16.981 -1.652 17.910
Cr -8.797 -0.856 9.279
Mn -4.296 -0.418 4.532
Zr -12.889 -1.254 13.595
```

## Properties
Symmetry: R-3m, No. 166
ΔH_f (0 K) (meV/atom): 485

***

Entry 6:
Entry from the Alexandria database: an optimized crystal structure of ZrMnCr2 (GGA-PBE).

```
8
Lattice="-4.153 0.354 0.786 0.504 -2.136 3.630 -0.553 5.746 5.937" Properties=species:S:1:pos:R:3 pbc="T T T"
Cr -1.632 1.302 2.232
Cr -1.381 0.234 4.047
Cr -1.657 3.107 7.016
Cr -3.734 3.285 7.408
Mn -1.824 -0.891 2.208
Mn -0.937 1.360 5.887
Zr 0.000 0.000 0.000
Zr -3.265 2.605 4.465
```

## Properties
Symmetry: I4_1/amd, No. 141
ΔH_f (0 K) (meV/atom): 855

***

Entry 7:
Entry from the Alexandria database: an optimized crystal structure of ZrMnCr2 (GGA-PBE).

```
4
Lattice="2.677 0.026 0.000 -0.909 2.518 0.000 0.000 0.000 8.274" Properties=species:S:1:pos:R:3 pbc="T T T"
Cr 0.000 0.000 0.291
Cr 0.000 0.000 3.846
Mn 0.884 1.272 2.069
Zr 0.884 1.272 6.206
```

## Properties
Symmetry: Cmmm, No. 65
ΔH_f (0 K) (meV/atom): 341

***

Entry 8:
Entry from the Alexandria database: an optimized crystal structure of Zr3Mn8Cr (GGA-PBE).

```
12
Lattice="0.243 -1.304 4.714 3.157 -3.462 1.423 6.690 3.995 3.303" Properties=species:S:1:pos:R:3 pbc="T T T"
Zr 2.962 -2.479 4.248
Zr 6.631 3.935 3.289
Zr 5.089 -0.341 4.730
Mn 5.743 2.256 5.414
Mn 3.917 -0.736 2.138
Mn 7.311 0.537 6.121
Mn 2.346 0.987 1.430
Mn 6.536 -1.615 6.846
Mn 1.487 -1.233 2.126
Mn 7.190 1.184 3.780
Mn 2.467 0.338 3.775
Cr 4.587 1.882 2.827
```

## Properties
Symmetry: R3m, No. 160
ΔH_f (0 K) (meV/atom): -59

***

- What is the formula in the second record?
  ZrMn10Cr2

***

- Number 7 is which compound?
  ZrMnCr2

***

- Number 6 is which compound?
  ZrMnCr2